1.
Ba2SrZn | PBEsol | optimized geometry

## Properties
Final energy ... -1.953 eV/atom
Crystal system ... orthorhombic
Magnetic moment ... 0.0 μB per formula unit
Formation energy from the elements ... -0.023 eV per atom

Cell lengths 4.1237, 6.1899, 13.4867 Å; angles 90.00, 90.00, 90.00 degrees
Space group Imm2 (No. 44)
One atom of each set of equivalent atoms:
Ba 0.0000 0.0000 0.0000 x2
Ba 0.0000 0.5000 0.1881 x2
Sr 0.0000 0.5000 0.8094 x2
Zn 0.0000 0.0000 0.4951 x2



2.
Ba2SrZn | PBEsol | optimized geometry

## Properties
Final energy ... -2.003 eV/atom
Crystal system ... tetragonal
Magnetic moment ... 0.0 μB per formula unit
Formation energy from the elements ... -0.073 eV per atom

Cell lengths 4.0959, 4.0959, 10.3399 Å; angles 90.00, 90.00, 90.00 degrees
Space group P4/mmm (No. 123)
One atom of each set of equivalent atoms:
Ba 0.0000 0.0000 0.1813 x2
Sr 0.5000 0.5000 0.5000 x1
Zn 0.5000 0.5000 0.0000 x1



3.
Ba2SrZn2 | PBEsol | optimized geometry

## Properties
Final energy ... -1.929 eV/atom
Crystal system ... tetragonal
Magnetic moment ... 0.0 μB per formula unit
Formation energy from the elements ... -0.069 eV per atom

Cell lengths 9.1091, 9.1091, 4.3930 Å; angles 90.00, 90.00, 90.00 degrees
Space group P4/mbm (No. 127)
One atom of each set of equivalent atoms:
Ba 0.1530 0.3470 0.0000 x4
Sr 0.0000 0.0000 0.5000 x2
Zn 0.1333 0.6333 0.5000 x4



4.
BaSr2Zn2 | PBEsol | optimized geometry

## Properties
Final energy ... -1.845 eV/atom
Crystal system ... tetragonal
Magnetic moment ... 0.0 μB per formula unit
Formation energy from the elements ... -0.046 eV per atom

Cell lengths 9.1975, 9.1975, 3.7176 Å; angles 90.00, 90.00, 90.00 degrees
Space group P4/mbm (No. 127)
One atom of each set of equivalent atoms:
Ba 0.0000 0.0000 0.0000 x2
Sr 0.1340 0.3660 0.0000 x4
Zn 0.1616 0.6616 0.5000 x4



5.
BaSrZr | PBEsol | optimized geometry

## Properties
Final energy ... -3.842 eV/atom
Crystal system ... tetragonal
Magnetic moment ... 0.0 μB per formula unit
Formation energy from the elements ... 0.518 eV per atom

Cell lengths 3.6275, 3.6275, 16.8565 Å; angles 90.00, 90.00, 90.00 degrees
Space group I4mm (No. 107)
One atom of each set of equivalent atoms:
Ba 0.0000 0.0000 0.0000 x2
Sr 0.0000 0.0000 0.7047 x2
Zr 0.0000 0.0000 0.3518 x2



6.
Ba2SrZr | PBEsol | optimized geometry

## Properties
Final energy ... -3.226 eV/atom
Crystal system ... cubic
Magnetic moment ... 1.9 μB per formula unit
Formation energy from the elements ... 0.581 eV per atom

Cell lengths 8.6877, 8.6877, 8.6877 Å; angles 90.00, 90.00, 90.00 degrees
Space group Fm-3m (No. 225)
One atom of each set of equivalent atoms:
Ba 0.2500 0.2500 0.2500 x8
Sr 0.0000 0.0000 0.0000 x4
Zr 0.0000 0.0000 0.5000 x4



7.
Ba2Sr2Zr | PBEsol | optimized geometry

## Properties
Final energy ... -2.595 eV/atom
Crystal system ... tetragonal
Magnetic moment ... 2.1 μB per formula unit
Formation energy from the elements ... 0.819 eV per atom

Cell lengths 4.6955, 4.6955, 20.1749 Å; angles 90.00, 90.00, 90.00 degrees
Space group I4/mmm (No. 139)
One atom of each set of equivalent atoms:
Ba 0.0000 0.5000 0.2500 x4
Sr 0.0000 0.0000 0.0862 x4
Zr 0.0000 0.0000 0.5000 x2



8.
BaSrZr2 | PBEsol | optimized geometry

## Properties
Final energy ... -4.872 eV/atom
Crystal system ... monoclinic
Magnetic moment ... 0.0 μB per formula unit
Formation energy from the elements ... 0.670 eV per atom

Cell lengths 3.2569, 6.0084, 6.6162 Å; angles 90.00, 103.22, 90.00 degrees
Space group P2/m (No. 10)
One atom of each set of equivalent atoms:
Ba 0.0000 0.0000 0.0000 x1
Sr 0.5000 0.0000 0.5000 x1
Zr 0.3248 0.5000 0.7022 x2